[1]
Entry from Alexandria via LeMat-Bulk: MgIrBr after structural relaxation (PBE).

Lattice parameters (Å, degrees): 7.787 7.534 3.014 83.42 73.96 22.62
Fractional coordinates of all 3 atoms:
Mg1 0.668 0.668 0.332
Ir1 0.303 0.303 0.697
Br1 0.029 0.029 0.971

Values from the calculation:
Formation energy without anion corrections in eV per atom: 0.2223
Energy above the most stable polymorph in this dataset in eV per atom: 0.781
Space group: Fmm2
Electronic total energy in eV/cell: -11.5

---

[2]
Entry from Alexandria via LeMat-Bulk: MgIrBr after structural relaxation (PBE).

Lattice parameters (Å, degrees): 4.429 4.429 3.220 90.00 90.00 120.00
Fractional coordinates of all 3 atoms:
Br1 0.000 0.000 0.167
Ir1 0.667 0.333 0.167
Mg1 0.333 0.667 0.666

Values from the calculation:
Formation energy without anion corrections in eV per atom: 0.2455
Energy above the most stable polymorph in this dataset in eV per atom: 0.804
Space group: P-6m2
Electronic total energy in eV/cell: -11.4

---

[3]
Entry from Alexandria via LeMat-Bulk: MgIrBr after structural relaxation (PBE).

Lattice parameters (Å, degrees): 8.461 3.170 8.646 90.00 90.00 90.00
Fractional coordinates of all 12 atoms:
Br1 0.673 0.750 0.955
Br2 0.173 0.750 0.545
Br3 0.327 0.250 0.045
Br4 0.827 0.250 0.455
Mg1 0.432 0.250 0.663
Mg2 0.932 0.250 0.837
Mg3 0.568 0.750 0.337
Mg4 0.068 0.750 0.163
Ir1 0.306 0.250 0.332
Ir2 0.194 0.750 0.832
Ir3 0.806 0.250 0.168
Ir4 0.694 0.750 0.668

Values from the calculation:
Formation energy without anion corrections in eV per atom: 0.1336
Energy above the most stable polymorph in this dataset in eV per atom: 0.692
Space group: Pnma
Electronic total energy in eV/cell: -46.9

---

[4]
Entry from Alexandria via LeMat-Bulk: MgIrBr after structural relaxation (PBE).

Lattice parameters (Å, degrees): 4.454 4.454 4.454 60.00 60.00 60.00
Fractional coordinates of all 3 atoms:
Br1 0.000 0.000 0.000
Mg1 0.750 0.750 0.750
Ir1 0.500 0.500 0.500

Values from the calculation:
Formation energy without anion corrections in eV per atom: 0.6513
Energy above the most stable polymorph in this dataset in eV per atom: 1.210
Space group: F-43m
Electronic total energy in eV/cell: -10.2

---

[5]
Entry from Alexandria via LeMat-Bulk: MgIrBr after structural relaxation (PBE).

Lattice parameters (Å, degrees): 5.427 5.160 8.158 90.00 90.00 90.00
Fractional coordinates of all 12 atoms:
Ir1 0.834 0.750 0.699
Ir2 0.166 0.250 0.301
Ir3 0.666 0.250 0.199
Ir4 0.334 0.750 0.801
Mg1 0.165 0.750 0.450
Mg2 0.665 0.750 0.050
Mg3 0.835 0.250 0.550
Mg4 0.335 0.250 0.950
Br1 0.848 0.250 0.911
Br2 0.348 0.250 0.589
Br3 0.652 0.750 0.411
Br4 0.152 0.750 0.089

Values from the calculation:
Formation energy without anion corrections in eV per atom: 0.2617
Energy above the most stable polymorph in this dataset in eV per atom: 0.820
Space group: Pnma
Electronic total energy in eV/cell: -45.4

---

[6]
Entry from Alexandria via LeMat-Bulk: MgIrBr after structural relaxation (PBE).

Lattice parameters (Å, degrees): 4.428 4.428 4.428 60.00 60.00 60.00
Fractional coordinates of all 3 atoms:
Ir1 0.500 0.500 0.500
Br1 0.250 0.250 0.250
Mg1 0.750 0.750 0.750

Values from the calculation:
Formation energy without anion corrections in eV per atom: 0.4114
Energy above the most stable polymorph in this dataset in eV per atom: 0.970
Space group: F-43m
Electronic total energy in eV/cell: -10.9

---

[7]
Entry from Alexandria via LeMat-Bulk: MgIrBr after structural relaxation (PBE).

Lattice parameters (Å, degrees): 5.577 6.059 7.102 90.00 90.00 90.00
Fractional coordinates of all 12 atoms:
Br1 0.000 0.500 0.000
Br2 0.500 0.000 0.500
Br3 0.000 0.000 0.000
Br4 0.500 0.500 0.500
Ir1 0.799 0.250 0.285
Ir2 0.701 0.750 0.785
Ir3 0.299 0.250 0.215
Ir4 0.201 0.750 0.715
Mg1 0.075 0.250 0.580
Mg2 0.575 0.250 0.920
Mg3 0.925 0.750 0.420
Mg4 0.425 0.750 0.080

Values from the calculation:
Formation energy without anion corrections in eV per atom: 0.3349
Energy above the most stable polymorph in this dataset in eV per atom: 0.893
Space group: Pnma
Electronic total energy in eV/cell: -44.5

---

[8]
Entry from Alexandria via LeMat-Bulk: MgIrBr after structural relaxation (PBE).

Lattice parameters (Å, degrees): 4.295 4.295 7.436 90.00 90.00 120.00
Fractional coordinates of all 6 atoms:
Ir1 0.667 0.333 0.250
Ir2 0.333 0.667 0.750
Br1 0.667 0.333 0.750
Br2 0.333 0.667 0.250
Mg1 0.000 0.000 0.500
Mg2 0.000 0.000 0.000

Values from the calculation:
Formation energy without anion corrections in eV per atom: 0.4439
Energy above the most stable polymorph in this dataset in eV per atom: 1.002
Space group: P6_3/mmc
Electronic total energy in eV/cell: -21.6

---

[9]
Entry from Alexandria via LeMat-Bulk: MgNi2IrBr after structural relaxation (PBE).

Lattice parameters (Å, degrees): 4.625 5.054 4.625 90.00 90.00 90.00
Last column: magnetic moment on the atom in μB.
Fractional coordinates of all 5 atoms:
Ni1 0.500 0.000 0.000  0.44
Ni2 0.000 0.000 0.500  0.99
Mg1 0.500 0.500 0.500  0.00
Ir1 0.000 0.000 0.000  0.60
Br1 0.000 0.500 0.000  0.00

Values from the calculation:
Formation energy without anion corrections in eV per atom: 0.8283
Space group: P4/mmm
Electronic total energy in eV/cell: -19.5

---

[10]
Entry from Alexandria via LeMat-Bulk: MgIrBr2O after structural relaxation (PBE).

Lattice parameters (Å, degrees): 4.842 5.264 4.842 90.00 90.00 90.00
Fractional coordinates of all 5 atoms:
Br1 0.500 0.000 0.000
Br2 0.000 0.000 0.500
O1 0.500 0.500 0.500
Ir1 0.000 0.000 0.000
Mg1 0.000 0.500 0.000

Values from the calculation:
Formation energy without anion corrections in eV per atom: 0.5835
Space group: P4/mmm
Electronic total energy in eV/cell: -15.8

---

[11]
Entry from Alexandria via LeMat-Bulk: MgReIrBr2 after structural relaxation (PBE).

Lattice parameters (Å, degrees): 4.728 6.068 4.728 90.00 90.00 90.00
Last column: magnetic moment on the atom in μB.
Fractional coordinates of all 5 atoms:
Br1 0.000 0.000 0.500  0.02
Br2 0.500 0.000 0.000  0.01
Ir1 0.500 0.500 0.500  -1.56
Mg1 0.000 0.000 0.000  -0.01
Re1 0.000 0.500 0.000  3.29

Values from the calculation:
Formation energy without anion corrections in eV per atom: 1.6597
Space group: P4/mmm
Electronic total energy in eV/cell: -18.0

---

[12]
Entry from Alexandria via LeMat-Bulk: MgIr2RuBr after structural relaxation (PBE).

Lattice parameters (Å, degrees): 4.714 5.066 4.714 90.00 90.00 90.00
Fractional coordinates of all 5 atoms:
Mg1 0.500 0.500 0.500
Ru1 0.000 0.000 0.000
Ir1 0.500 0.000 0.000
Ir2 0.000 0.000 0.500
Br1 0.000 0.500 0.000

Values from the calculation:
Formation energy without anion corrections in eV per atom: 1.1193
Space group: P4/mmm
Electronic total energy in eV/cell: -24.7

---

[13]
Entry from Alexandria via LeMat-Bulk: MgIrSe2Br after structural relaxation (PBE).

Lattice parameters (Å, degrees): 4.938 4.938 5.131 90.00 90.00 90.00
Fractional coordinates of all 5 atoms:
Br1 0.000 0.000 0.500
Se1 0.500 0.000 0.000
Se2 0.000 0.500 0.000
Ir1 0.000 0.000 0.000
Mg1 0.500 0.500 0.500

Values from the calculation:
Formation energy without anion corrections in eV per atom: 0.1524
Energy above the most stable polymorph in this dataset in eV per atom: 0.000
Space group: P4/mmm
Electronic total energy in eV/cell: -18.3

---

[14]
Entry from Alexandria via LeMat-Bulk: MgIrSeBr2 after structural relaxation (PBE).

Lattice parameters (Å, degrees): 5.198 5.198 4.816 90.00 90.00 90.00
Fractional coordinates of all 5 atoms:
Ir1 0.000 0.000 0.000
Mg1 0.500 0.500 0.500
Br1 0.500 0.000 0.000
Br2 0.000 0.500 0.000
Se1 0.000 0.000 0.500

Values from the calculation:
Formation energy without anion corrections in eV per atom: 0.0812
Energy above the most stable polymorph in this dataset in eV per atom: 0.000
Space group: P4/mmm
Electronic total energy in eV/cell: -16.9